24
Lattice="8.215 0.000 0.000 0.000 2.914 0.000 -4.012 0.000 8.900" Properties=species:S:1:pos:R:3 comment="Li7Mn2Co3O12, relaxed, DFT GGA+U" dos_at_fermi_per_ev_cell=2.04 polymorph_energy_mev_per_atom=43.4 pbc="T T T"
Li 0.000 0.000 0.000
Li -1.968 1.457 4.581
Li -0.017 0.000 2.853
Li 1.881 1.457 1.284
Li 0.027 0.000 8.834
Li 2.222 1.457 7.525
Li 4.211 0.000 6.024
Mn 2.032 1.457 4.497
Mn 6.226 1.457 1.481
Co -2.149 1.457 7.480
Co 0.040 0.000 5.983
Co 4.098 0.000 2.947
O -0.164 1.457 1.515
O -1.858 0.000 6.009
O -1.946 0.000 8.822
O 0.117 1.457 4.652
O 0.050 1.457 7.247
O 2.008 0.000 3.186
O 2.020 0.000 5.810
O 4.188 1.457 1.635
O 3.971 1.457 4.360
O 6.108 0.000 0.204
O 6.139 0.000 2.844
O 4.251 1.457 7.363